(1)
Below is a relaxed structure of Ba3V3N5, with properties calculated at the PBE level.

Lattice parameters (Å, degrees): 5.987 7.604 8.944 107.72 101.67 96.35
Atoms (fractional coordinates):
N (0.946, 0.117, 0.787)
N (0.375, 0.944, 0.618)
N (0.153, 0.786, 0.868)
N (0.211, 0.474, 0.068)
N (0.789, 0.526, 0.932)
N (0.175, 0.240, 0.458)
N (0.847, 0.214, 0.132)
N (0.625, 0.056, 0.382)
N (0.825, 0.760, 0.542)
N (0.054, 0.883, 0.213)
V (0.692, 0.981, 0.584)
V (0.308, 0.019, 0.416)
V (0.901, 0.102, 0.295)
V (0.099, 0.898, 0.705)
V (0.916, 0.318, 0.972)
V (0.084, 0.682, 0.028)
Ba (0.351, 0.142, 0.120)
Ba (0.821, 0.431, 0.612)
Ba (0.647, 0.671, 0.220)
Ba (0.353, 0.329, 0.780)
Ba (0.649, 0.858, 0.880)
Ba (0.179, 0.569, 0.388)

Results
size of the total moment: 1.00 μB/f.u.
space group: P-1
E_form (uncorrected): -813 meV/atom

***

(2)
Below is a relaxed structure of BaVN, with properties calculated at the PBE level.

Lattice parameters (Å, degrees): 3.428 3.672 11.933 90.00 90.00 117.83
Atoms (fractional coordinates):
N (0.187, 0.375, 0.500)
N (0.611, 0.222, 0.000)
Ba (0.290, 0.580, 0.136)
Ba (0.290, 0.580, 0.864)
V (0.644, 0.288, 0.585)
V (0.644, 0.288, 0.415)

Results
size of the total moment: 0.00 μB/f.u.
space group: Amm2
E_form (uncorrected): 285 meV/atom

***

(3)
Below is a relaxed structure of BaV2N2, with properties calculated at the PBE level.

Lattice parameters (Å, degrees): 7.076 7.076 2.916 90.00 90.00 90.00
Atoms (fractional coordinates):
N (0.124, 0.624, 0.500)
N (0.876, 0.376, 0.500)
N (0.624, 0.876, 0.500)
N (0.376, 0.124, 0.500)
V (0.601, 0.101, 0.000)
V (0.899, 0.601, 0.000)
V (0.399, 0.899, 0.000)
V (0.101, 0.399, 0.000)
Ba (0.500, 0.500, 0.000)
Ba (0.000, 0.000, 0.000)

Results
energy relative to the lowest polymorph listed for this composition: 1050 meV per atom
size of the total moment: 1.31 μB/f.u.
space group: P4/mbm
E_form (uncorrected): 490 meV/atom

***

(4)
Below is a relaxed structure of Ba2V2N, with properties calculated at the PBE level.

Lattice parameters (Å, degrees): 3.398 3.398 10.338 80.54 80.54 90.00
Atoms (fractional coordinates):
V (0.750, 0.250, 0.500)
V (0.250, 0.750, 0.500)
Ba (0.577, 0.577, 0.846)
Ba (0.423, 0.423, 0.154)
N (0.000, 0.000, 0.000)

Results
size of the total moment: 0.01 μB/f.u.
space group: I4/mmm
E_form (uncorrected): 459 meV/atom